A plane-wave DFT calculation with PBE was carried out for a relaxed YTcN3 crystal.

The space group is Cmcm (No. 63) and the conventional cell measures 3.632, 13.025 and 4.915 Å, with angles of 90.00, 90.00 and 90.00 degrees. The inequivalent atoms are Y at (0.000, 0.154, 0.250), Tc at (0.000, 0.451, 0.250), N at (0.000, 0.000, 0.000) and N at (0.179, 0.181, 0.750).

Its raw total energy is -0.3151 Ha/atom. Its formation energy from raw total energies is -212 meV per atom.